No. 1
La2Pm4Nd3 after structural relaxation. Source: Alexandria via LeMat-Bulk, functional PBE.

abc: 6.3825 6.3845 13.2607
angles: 118.63 103.87 120.03
Closest atoms and distances in Å follow each position.
Fractional positions:
Pm 0.8896 0.7794 0.6680  5 Nd 3.67-3.70, 4 La 3.68-3.70, 3 Pm 3.68-3.70
Pm 0.6679 0.3352 0.0001  5 Nd 3.67-3.69, 5 Pm 3.67-3.70, 2 La 3.67-3.69
Pm 0.3321 0.6648 0.9999  5 Nd 3.67-3.69, 5 Pm 3.67-3.70, 2 La 3.67-3.69
Pm 0.1104 0.2206 0.3320  5 Nd 3.67-3.70, 4 La 3.68-3.70, 3 Pm 3.68-3.70
Nd 0.5569 0.1118 0.6676  6 Pm 3.67-3.70, 4 La 3.68-3.71, 2 Nd 3.69-3.70
Nd 0.0000 0.0000 0.0000  8 Pm 3.67-3.69, 2 La 3.68, 2 Nd 3.69
Nd 0.4431 0.8882 0.3324  6 Pm 3.67-3.70, 4 La 3.68-3.71, 2 Nd 3.69-3.70
La 0.7756 0.5537 0.3321  6 Pm 3.67-3.70, 5 Nd 3.68-3.71, 1 La 3.71
La 0.2244 0.4463 0.6679  6 Pm 3.67-3.70, 5 Nd 3.68-3.71, 1 La 3.71

Summary:
**Space group**: P-1 (2)
**Formation enthalpy at 0 K**: 0.016 eV per atom
**DFT total energy**: -4.7795 eV/atom
**Size of the total moment**: 0.0 Bohr magnetons per cell
**Excess energy over the best structure of this formula in the dataset**: 0.0 meV per atom

=====

No. 2
Pr5YAg6 after structural relaxation. Source: Alexandria via LeMat-Bulk, functional PBE.

abc: 5.3429 7.4492 8.4621
angles: 90.00 71.60 90.00
Closest atoms and distances in Å follow each position.
Fractional positions:
Ag 0.5001 0.2401 0.0000  6 Pr 3.21-3.32, 2 Y 3.21-3.22, 1 Ag 3.58
Ag 0.8377 0.2438 0.3246  1 Y 3.18, 7 Pr 3.23-3.32
Ag 0.4999 0.7599 0.0000  6 Pr 3.21-3.32, 2 Y 3.21-3.22, 1 Ag 3.58
Ag 0.1623 0.7562 0.6754  1 Y 3.18, 7 Pr 3.23-3.32
Ag 0.8378 0.7562 0.3246  1 Y 3.18, 7 Pr 3.23-3.32
Ag 0.1622 0.2438 0.6754  1 Y 3.18, 7 Pr 3.23-3.32
Pr 0.0000 0.5000 0.0000  8 Ag 3.23-3.30
Pr 0.3341 0.0000 0.3319  8 Ag 3.21-3.30
Pr 0.6682 0.5000 0.6636  8 Ag 3.28-3.32
Pr 0.6659 0.0000 0.6681  8 Ag 3.21-3.30
Pr 0.3318 0.5000 0.3364  8 Ag 3.28-3.32
Y 0.0000 0.0000 0.0000  8 Ag 3.18-3.22

Summary:
**Space group**: Cmmm (65)
**Formation enthalpy at 0 K**: -0.256 eV per atom
**DFT total energy**: -4.2116 eV/atom
**Size of the total moment**: 0.0 Bohr magnetons per cell